1.
Computed, not measured: a relaxed structure of LaTiNO2 at the PBE level of DFT.

Summary:
* E_form (uncorrected): -429 meV/atom
* total moment: 1.00 μB per formula unit
* VASP energy: -0.488 Ry per atom

Structure (CIF):
```
data_LaTiNO2
_space_group_name_H-M_alt 'P 4/m m m'
_space_group_IT_number 123
_space_group_name_Hall '-P 4 2'
_cell_length_a 4.476
_cell_length_b 4.476
_cell_length_c 4.359
_cell_angle_alpha 90.00
_cell_angle_beta 90.00
_cell_angle_gamma 90.00
loop_
_atom_site_label
_atom_site_fract_x
_atom_site_fract_y
_atom_site_fract_z
La1 0.000 0.000 0.000
Ti1 0.500 0.500 0.500
N1 0.000 0.000 0.500
O1 0.000 0.500 0.000
```

=====

2.
Computed, not measured: a relaxed structure of La3Ti2N3O4 at the PBE level of DFT.

Summary:
* E_form (uncorrected): -2492 meV/atom
* total moment: 0.00 μB per formula unit
* VASP energy: -0.645 Ry per atom

Structure (CIF):
```
data_La3Ti2N3O4
_space_group_name_H-M_alt 'I -4 m 2'
_space_group_IT_number 119
_space_group_name_Hall 'I -4 -2'
_cell_length_a 3.950
_cell_length_b 3.950
_cell_length_c 20.773
_cell_angle_alpha 90.00
_cell_angle_beta 90.00
_cell_angle_gamma 90.00
loop_
_atom_site_label
_atom_site_fract_x
_atom_site_fract_y
_atom_site_fract_z
La1 0.000 0.000 0.000
La2 0.000 0.000 0.182
Ti1 0.000 0.000 0.407
N1 0.000 0.000 0.500
N2 0.000 0.500 0.599
O1 0.000 0.000 0.295
O2 0.000 0.500 0.105
```

=====

total moment of number 2 (La3Ti2N3O4)?
0.00 μB per formula unit

=====

The lowest VASP energy belongs to which entry?
La3Ti2N3O4

=====

Please write out number 1 again, unchanged.
Computed, not measured: a relaxed structure of LaTiNO2 at the PBE level of DFT.

Summary:
* E_form (uncorrected): -429 meV/atom
* total moment: 1.00 μB per formula unit
* VASP energy: -0.488 Ry per atom

Structure (CIF):
```
data_LaTiNO2
_space_group_name_H-M_alt 'P 4/m m m'
_space_group_IT_number 123
_space_group_name_Hall '-P 4 2'
_cell_length_a 4.476
_cell_length_b 4.476
_cell_length_c 4.359
_cell_angle_alpha 90.00
_cell_angle_beta 90.00
_cell_angle_gamma 90.00
loop_
_atom_site_label
_atom_site_fract_x
_atom_site_fract_y
_atom_site_fract_z
La1 0.000 0.000 0.000
Ti1 0.500 0.500 0.500
N1 0.000 0.000 0.500
O1 0.000 0.500 0.000
```

=====

Which formula does entry 1 have?
LaTiNO2